# Be2WCl (PBE, relaxed)
data_Be2WCl
_symmetry_space_group_name_H-M 'C 1 2/m 1'
_symmetry_Int_Tables_number 12
_cell_length_a 8.5726
_cell_length_b 2.7662
_cell_length_c 5.1402
_cell_angle_alpha 90.00
_cell_angle_beta 104.21
_cell_angle_gamma 90.00
loop_
_symmetry_equiv_pos_as_xyz
'x,y,z'
'-x,-y,-z'
'-x,y,-z'
'x,-y,z'
'x+1/2,y+1/2,z'
'-x+1/2,-y+1/2,-z'
'-x+1/2,y+1/2,-z'
'x+1/2,-y+1/2,z'
loop_
_atom_site_label
_atom_site_fract_x
_atom_site_fract_y
_atom_site_fract_z
Be1 0.2077 0.0000 0.3434
W1 0.0000 0.5000 0.5000
Cl1 0.0000 0.0000 0.0000
# Uncorrected formation energy, kJ/mol of formula units: 287.3
# Crystal system: monoclinic
# Relative energy among the computed polymorphs, eV/f.u.: 2.17


# PuTcTe2 (PBE, relaxed)
data_PuTcTe2
_symmetry_space_group_name_H-M 'R -3 m'
_symmetry_Int_Tables_number 166
_symmetry_space_group_name_Hall '-R 3 2"'
_cell_length_a 5.1567
_cell_length_b 5.1567
_cell_length_c 11.8775
_cell_angle_alpha 90.00
_cell_angle_beta 90.00
_cell_angle_gamma 120.00
loop_
_atom_site_label
_atom_site_fract_x
_atom_site_fract_y
_atom_site_fract_z
Pu1 0.0000 0.0000 0.0000
Tc1 0.0000 0.0000 0.5000
Te1 0.0000 0.0000 0.2570
# Uncorrected formation energy, kJ/mol of formula units: -51.8
# Crystal system: trigonal


# ZrMnIr (PBE, relaxed)
data_ZrMnIr
_symmetry_space_group_name_H-M 'F -4 3 m'
_symmetry_Int_Tables_number 216
_symmetry_space_group_name_Hall 'F -4 2 3'
_cell_length_a 6.1959
_cell_length_b 6.1959
_cell_length_c 6.1959
_cell_angle_alpha 90.00
_cell_angle_beta 90.00
_cell_angle_gamma 90.00
loop_
_atom_site_label
_atom_site_fract_x
_atom_site_fract_y
_atom_site_fract_z
Zr1 0.0000 0.0000 0.0000
Mn1 0.2500 0.2500 0.7500
Ir1 0.2500 0.2500 0.2500
# Crystal system: cubic
# DFT formation energy, kcal/mol of atoms: 6.8


# InCoReTe2 (PBE, relaxed)
data_InCoReTe2
_symmetry_space_group_name_H-M 'P 4/m m m'
_symmetry_Int_Tables_number 123
_symmetry_space_group_name_Hall '-P 4 2'
_cell_length_a 5.2992
_cell_length_b 5.2992
_cell_length_c 4.6606
_cell_angle_alpha 90.00
_cell_angle_beta 90.00
_cell_angle_gamma 90.00
loop_
_atom_site_label
_atom_site_fract_x
_atom_site_fract_y
_atom_site_fract_z
In1 0.0000 0.0000 0.0000
Co1 0.5000 0.5000 0.0000
Re1 0.5000 0.5000 0.5000
Te1 0.0000 0.5000 0.5000
# Uncorrected formation energy, kJ/mol of formula units: 381.9
# Crystal system: tetragonal


| no. | V (Å³ per atom) | total DFT energy (no corrections) (eV per formula unit) |
| --- | --- | --- |
| 1 | 14.8 | -19.27 |
| 2 | 22.8 | -31.52 |
| 3 | 19.8 | -25.69 |
| 4 | 26.2 | -24.62 |